# 1
PBE Cs3Te4P2, relaxed; E_tot = -3.443 eV per atom; density of states at the Fermi level = 2.58 states/eV/f.u.; formation energy without anion corrections = -0.560 eV/atom
1.0
9.0189 -4.9558 0.0000
9.0189 4.9558 0.0000
-0.0051 0.0000 8.5945
Cs Te P
6 8 4
Direct
0.9998 0.0002 0.2500 Cs
0.0002 0.9998 0.7500 Cs
0.1901 0.5408 0.0005 Cs
0.4592 0.8099 0.4995 Cs
0.5408 0.1901 0.5005 Cs
0.8099 0.4592 0.9995 Cs
0.2022 0.6196 0.4998 Te
0.2147 0.2152 0.2507 Te
0.2152 0.2147 0.7507 Te
0.3804 0.7978 0.0002 Te
0.6196 0.2022 0.9998 Te
0.7848 0.7853 0.2493 Te
0.7853 0.7848 0.7493 Te
0.7978 0.3804 0.5002 Te
0.0397 0.3761 0.5003 P
0.3761 0.0397 0.0003 P
0.6239 0.9603 0.9997 P
0.9603 0.6239 0.4997 P



# 2
PBE Th6Ge3PS2, relaxed; E_tot = -7.272 eV per atom; density of states at the Fermi level = 6.30 states/eV/f.u.; formation energy without anion corrections = -1.269 eV/atom
1.0
9.1122 -2.1116 0.0000
9.1122 2.1116 0.0000
-1.7546 0.0000 8.1657
Th Ge P S
6 3 1 2
Direct
0.0008 0.0008 0.2442 Th
0.3322 0.3322 0.4211 Th
0.3358 0.3358 0.9151 Th
0.6642 0.6642 0.0849 Th
0.6678 0.6678 0.5789 Th
0.9992 0.9992 0.7558 Th
0.1676 0.1676 0.8320 Ge
0.5000 0.5000 0.5000 Ge
0.8324 0.8324 0.1680 Ge
0.5000 0.5000 0.0000 P
0.1665 0.1665 0.3324 S
0.8335 0.8335 0.6676 S



- The highest E_tot belongs to which entry?
  Cs3Te4P2